Density functional theory data (GGA-PBE) for crystalline Eu3Al2P4 at its relaxed geometry.

a = 8.1805 Å, b = 8.1805 Å, c = 6.5385 Å
α = 90.10°, β = 90.10°, γ = 75.64°
Sites, in units of the cell vectors:
1 Eu 0.0975 0.9025 0.7500
2 Eu 0.2507 0.5078 0.0356
3 Eu 0.4922 0.7493 0.4644
4 Eu 0.5078 0.2507 0.5356
5 Eu 0.7493 0.4922 0.9644
6 Eu 0.9025 0.0975 0.2500
7 Al 0.0803 0.3292 0.5857
8 Al 0.3292 0.0803 0.0857
9 Al 0.6708 0.9197 0.9143
10 Al 0.9197 0.6708 0.4143
11 P 0.0742 0.2419 0.9323
12 P 0.2107 0.5601 0.5256
13 P 0.2419 0.0742 0.4323
14 P 0.4399 0.7893 0.9744
15 P 0.5601 0.2107 0.0256
16 P 0.7581 0.9258 0.5677
17 P 0.7893 0.4399 0.4744
18 P 0.9258 0.7581 0.0677

Properties
**Crystal system**: monoclinic
**Space-group type**: No. 15
**Formation energy**: -885 kJ/mol of formula units

=====

Density functional theory data (GGA-PBE) for crystalline RePtSe2 at its relaxed geometry.

a = 6.3971 Å, b = 6.3971 Å, c = 6.3971 Å
α = 90.00°, β = 90.00°, γ = 90.00°
Sites, in units of the cell vectors:
1 Re 0.0000 0.0000 0.0000
2 Re 0.0000 0.5000 0.5000
3 Re 0.5000 0.0000 0.5000
4 Re 0.5000 0.5000 0.0000
5 Pt 0.0000 0.0000 0.5000
6 Pt 0.0000 0.5000 0.0000
7 Pt 0.5000 0.0000 0.0000
8 Pt 0.5000 0.5000 0.5000
9 Se 0.2500 0.2500 0.2500
10 Se 0.2500 0.2500 0.7500
11 Se 0.2500 0.7500 0.2500
12 Se 0.2500 0.7500 0.7500
13 Se 0.7500 0.2500 0.2500
14 Se 0.7500 0.2500 0.7500
15 Se 0.7500 0.7500 0.2500
16 Se 0.7500 0.7500 0.7500

Properties
**Crystal system**: cubic
**Space-group type**: No. 225
**E above lowest polymorph**: 192 kJ/mol of formula units
**Energy relative to the elements, uncorrected**: 0.59 eV/atom

=====

Density functional theory data (GGA-PBE) for crystalline SrNi3Sb2 at its relaxed geometry.

a = 8.5354 Å, b = 8.5354 Å, c = 10.1437 Å
α = 104.20°, β = 104.20°, γ = 28.55°
Sites, in units of the cell vectors:
1 Sr 0.0000 0.0000 0.0000
2 Sr 0.1586 0.1586 0.7089
3 Sr 0.8414 0.8414 0.2911
4 Ni 0.0510 0.0510 0.3710
5 Ni 0.2017 0.2017 0.3547
6 Ni 0.3459 0.3459 0.0415
7 Ni 0.3650 0.3650 0.7983
8 Ni 0.5000 0.5000 0.5000
9 Ni 0.6350 0.6350 0.2017
10 Ni 0.6541 0.6541 0.9585
11 Ni 0.7983 0.7983 0.6453
12 Ni 0.9490 0.9490 0.6290
13 Sb 0.2022 0.2022 0.1028
14 Sb 0.3445 0.3445 0.5393
15 Sb 0.4820 0.4820 0.2374
16 Sb 0.5180 0.5180 0.7626
17 Sb 0.6555 0.6555 0.4607
18 Sb 0.7978 0.7978 0.8972

Properties
**Crystal system**: monoclinic
**Space-group type**: No. 12
**E above lowest polymorph**: 0 kJ/mol of formula units
**Energy relative to the elements, uncorrected**: -0.41 eV/atom

=====

Density functional theory data (GGA-PBE) for crystalline Pm6Ag5Bi at its relaxed geometry.

a = 9.2508 Å, b = 9.2508 Å, c = 9.2508 Å
α = 146.71°, β = 131.65°, γ = 59.96°
Sites, in units of the cell vectors:
1 Pm 0.0764 0.3304 0.7460
2 Pm 0.2424 0.0000 0.2424
3 Pm 0.4156 0.6696 0.7460
4 Pm 0.5844 0.3304 0.2540
5 Pm 0.7576 0.0000 0.7576
6 Pm 0.9236 0.6696 0.2540
7 Ag 0.0000 0.5000 0.5000
8 Ag 0.1674 0.1674 0.0000
9 Ag 0.3292 0.8292 0.5000
10 Ag 0.6708 0.1708 0.5000
11 Ag 0.8326 0.8326 0.0000
12 Bi 0.5000 0.5000 0.0000

Properties
**Crystal system**: orthorhombic
**Space-group type**: No. 71
**Formation energy**: -393 kJ/mol of formula units

=====

Density functional theory data (GGA-PBE) for crystalline BIr2Pt at its relaxed geometry.

a = 2.7592 Å, b = 2.7592 Å, c = 6.6982 Å
α = 90.00°, β = 90.00°, γ = 90.00°
Sites, in units of the cell vectors:
1 B 0.0000 0.0000 0.0000
2 Ir 0.5000 0.5000 0.1939
3 Ir 0.5000 0.5000 0.8061
4 Pt 0.0000 0.0000 0.5000

Properties
**Crystal system**: tetragonal
**Space-group type**: No. 123
**Formation energy**: 12 kJ/mol of formula units

=====

Density functional theory data (GGA-PBE) for crystalline Sc6Zn2CO at its relaxed geometry.

a = 6.2850 Å, b = 6.2850 Å, c = 6.2850 Å
α = 60.00°, β = 60.00°, γ = 60.00°
Sites, in units of the cell vectors:
1 Sc 0.2485 0.2485 0.7515
2 Sc 0.2485 0.7515 0.2485
3 Sc 0.2485 0.7515 0.7515
4 Sc 0.7515 0.2485 0.2485
5 Sc 0.7515 0.2485 0.7515
6 Sc 0.7515 0.7515 0.2485
7 Zn 0.2500 0.2500 0.2500
8 Zn 0.7500 0.7500 0.7500
9 C 0.0000 0.0000 0.0000
10 O 0.5000 0.5000 0.5000

Properties
**Crystal system**: cubic
**Space-group type**: No. 225
**Energy relative to the elements, uncorrected**: -0.95 eV/atom

=====

Density functional theory data (GGA-PBE) for crystalline B5C3 at its relaxed geometry.

a = 2.3576 Å, b = 2.5406 Å, c = 9.1425 Å
α = 90.00°, β = 90.00°, γ = 90.00°
Sites, in units of the cell vectors:
1 B 0.0000 0.0000 0.0000
2 B 0.0000 0.0000 0.4759
3 B 0.0000 0.5000 0.6175
4 B 0.5000 0.0000 0.3267
5 B 0.5000 0.5000 0.7693
6 C 0.0000 0.5000 0.1183
7 C 0.5000 0.0000 0.8729
8 C 0.5000 0.5000 0.2120

Properties
**Crystal system**: orthorhombic
**Space-group type**: No. 25
**E above lowest polymorph**: 95 kJ/mol of formula units
**Formation energy**: 303 kJ/mol of formula units

=====

Density functional theory data (GGA-PBE) for crystalline Tb2AlGa4Cu3 at its relaxed geometry.

a = 4.0972 Å, b = 4.0972 Å, c = 10.5265 Å
α = 90.00°, β = 90.00°, γ = 90.00°
Sites, in units of the cell vectors:
1 Tb 0.0000 0.5000 0.2442
2 Tb 0.5000 0.0000 0.7558
3 Al 0.0000 0.0000 0.5000
4 Ga 0.0000 0.0000 0.0000
5 Ga 0.0000 0.5000 0.6440
6 Ga 0.5000 0.0000 0.3560
7 Ga 0.5000 0.5000 0.0000
8 Cu 0.0000 0.5000 0.8687
9 Cu 0.5000 0.0000 0.1313
10 Cu 0.5000 0.5000 0.5000

Properties
**Crystal system**: tetragonal
**Space-group type**: No. 115
**Formation energy**: -458 kJ/mol of formula units

=====

Density functional theory data (GGA-PBE) for crystalline AlAu at its relaxed geometry.

a = 3.7830 Å, b = 3.7830 Å, c = 5.3069 Å
α = 90.00°, β = 90.00°, γ = 90.00°
Sites, in units of the cell vectors:
1 Al 0.0000 0.0000 0.0000
2 Al 0.5000 0.5000 0.5000
3 Au 0.0000 0.0000 0.5000
4 Au 0.5000 0.5000 0.0000

Properties
**Crystal system**: tetragonal
**Space-group type**: No. 139
**Formation energy**: -48 kJ/mol of formula units